Computed, not measured: RbNaV2O6 after structural relaxation at the PBE+U level of DFT.

Values from the calculation:
The theoretical density is 2.73 Mg/m³. Its space-group type is C2/c. The calculation puts the density of states at the Fermi level at 0.000 states/eV per atom. As for the uncorrected energy: -132.897 eV for the cell shown. For the total magnetization, the calculation gives 0.00 μB per cell.

a = 8.061 Å, b = 8.061 Å, c = 6.006 Å
α = 101.00°, β = 101.00°, γ = 94.49°
Atoms (fractional coordinates):
Rb  0.108  0.892  0.750
Rb  0.892  0.108  0.250
Na  0.253  0.747  0.250
Na  0.747  0.253  0.750
V  0.223  0.380  0.807
V  0.380  0.223  0.307
V  0.620  0.777  0.693
V  0.777  0.620  0.193
O  0.039  0.248  0.729
O  0.183  0.581  0.882
O  0.248  0.039  0.229
O  0.325  0.356  0.557
O  0.356  0.325  0.057
O  0.419  0.817  0.618
O  0.581  0.183  0.382
O  0.644  0.675  0.943
O  0.675  0.644  0.443
O  0.752  0.961  0.771
O  0.817  0.419  0.118
O  0.961  0.752  0.271